Computed, not measured: a relaxed MgCrO2 crystal at the PBE+U level of DFT.

Properties
The total energy is -6.82 eV/atom. As for the volume: 47.3 Å³/f.u.

a b c (Å): 10.0542 4.0253 5.6494
angles (deg): 90.00 124.13 90.00
With the nearest neighbours (Å) after each atom.
Space group C2/m (No. 12)
One atom of each set of equivalent atoms:
Mg 0.1317 0.0000 0.4533 [4 per cell]  5 O 2.04-2.14
Cr 0.1197 0.5000 0.8992 [4 per cell]  4 O 2.04-2.13
O 0.1254 0.0000 0.8175 [4 per cell]  3 Cr 2.07-2.13, 2 Mg 2.09-2.14
O 0.1258 0.5000 0.3549 [4 per cell]  3 Mg 2.04-2.08, 1 Cr 2.04